A plane-wave DFT calculation with PBE was carried out for a relaxed structure of NaSr2Y.

Cell and atoms, written as POSCAR:
```
NaSr2Y
1.0
4.166 0.000 0.000
0.000 6.393 0.000
0.000 0.000 6.393
Y Sr Na
1 2 1
Direct
0.500 0.500 0.500
0.000 0.000 0.500
0.000 0.500 0.000
0.500 0.000 0.000
```

Values from the calculation:
DOS(E_F)	0.95	states/eV per atom
formation energy from the elements	186.7	meV/atom
uncorrected energy	-10.400	eV per cell
energy above the lowest structure with this stoichiometry	5.4	kJ/mol of atoms

***

A plane-wave DFT calculation with PBE was carried out for a relaxed structure of Na4Sr5Zn.

Cell and atoms, written as POSCAR:
```
Na4Sr5Zn
1.0
4.021 0.000 0.000
0.000 4.021 0.000
0.000 0.000 26.191
Na Sr Zn
4 5 1
Direct
0.000 0.000 0.179
0.000 0.000 0.393
0.000 0.000 0.607
0.000 0.000 0.821
0.500 0.500 0.072
0.500 0.500 0.285
0.500 0.500 0.500
0.500 0.500 0.715
0.500 0.500 0.928
0.000 0.000 0.000
```

Values from the calculation:
DOS(E_F)	0.81	states/eV per atom
formation energy from the elements	-7.8	meV/atom
uncorrected energy	-15.037	eV per cell

***

- The highest DOS(E_F) belongs to which entry?
  NaSr2Y

***

Copy entry 2 word for word.
A plane-wave DFT calculation with PBE was carried out for a relaxed structure of Na4Sr5Zn.

Cell and atoms, written as POSCAR:
```
Na4Sr5Zn
1.0
4.021 0.000 0.000
0.000 4.021 0.000
0.000 0.000 26.191
Na Sr Zn
4 5 1
Direct
0.000 0.000 0.179
0.000 0.000 0.393
0.000 0.000 0.607
0.000 0.000 0.821
0.500 0.500 0.072
0.500 0.500 0.285
0.500 0.500 0.500
0.500 0.500 0.715
0.500 0.500 0.928
0.000 0.000 0.000
```

Values from the calculation:
DOS(E_F)	0.81	states/eV per atom
formation energy from the elements	-7.8	meV/atom
uncorrected energy	-15.037	eV per cell

***

- Look up the DOS(E_F) of the first one.
  0.95 states/eV per atom